The following is a DFT calculation (PBE) of a relaxed structure of RbSnGeTe2.

abc: 5.578 5.578 5.866
angles: 90.00 90.00 90.00
Fractional coordinates of all 5 atoms:
Rb 0.000 0.000 0.000
Sn 0.500 0.500 0.000
Ge 0.000 0.000 0.500
Te 0.000 0.500 0.500
Te 0.500 0.000 0.500

E_form (uncorrected) = 0.290 eV per atom
DOS at the Fermi energy = 4.908 states/eV/f.u.
Space group = P4/mmm (123)